No. 1
# Zr2CuGe4, PBEsol geometry, DFT meta-GGA SCAN
data_Zr2CuGe4
_cell_length_a 3.773
_cell_length_b 33.073
_cell_length_c 3.763
_cell_angle_alpha 90.00
_cell_angle_beta 90.00
_cell_angle_gamma 90.00
_space_group_name_H-M_alt 'C m c m'
_space_group_IT_number 63
_space_group_name_Hall '-C 2c 2'
loop_
_atom_site_label
_atom_site_type_symbol
_atom_site_fract_x
_atom_site_fract_y
_atom_site_fract_z
Zr1 Zr 0.000 0.047 0.250
Zr2 Zr 0.000 0.322 0.250
Cu1 Cu 0.000 0.250 0.750
Ge1 Ge 0.000 0.113 0.750
Ge2 Ge 0.000 0.203 0.250
Ge3 Ge 0.000 0.387 0.750
Ge4 Ge 0.000 0.473 0.250
# D(E_F) = 8.72 states/eV/cell


No. 2
# ZrCuGe, PBEsol geometry, DFT meta-GGA SCAN
data_ZrCuGe
_cell_length_a 6.499
_cell_length_b 3.971
_cell_length_c 7.321
_cell_angle_alpha 90.00
_cell_angle_beta 90.00
_cell_angle_gamma 90.00
_space_group_name_H-M_alt 'P n m a'
_space_group_IT_number 62
loop_
_space_group_symop_operation_xyz
'x,y,z'
'-x,-y,-z'
'-x+1/2,-y,z+1/2'
'x+1/2,y,-z+1/2'
'x+1/2,-y+1/2,-z+1/2'
'-x+1/2,y+1/2,z+1/2'
'-x,y+1/2,-z'
'x,-y+1/2,z'
loop_
_atom_site_label
_atom_site_type_symbol
_atom_site_fract_x
_atom_site_fract_y
_atom_site_fract_z
Zr1 Zr 0.009 0.250 0.196
Cu1 Cu 0.174 0.250 0.578
Ge1 Ge 0.221 0.750 0.401
# D(E_F) = 4.82 states/eV/cell


No. 3
# Zr3Cu4Ge2, PBEsol geometry, DFT meta-GGA SCAN
data_Zr3Cu4Ge2
_cell_length_a 6.3531
_cell_length_b 6.3531
_cell_length_c 3.9780
_cell_angle_alpha 90.00
_cell_angle_beta 90.00
_cell_angle_gamma 120.00
_space_group_name_H-M_alt 'P -6 2 m'
_space_group_IT_number 189
_space_group_name_Hall 'P -6 -2'
loop_
_atom_site_label
_atom_site_type_symbol
_atom_site_fract_x
_atom_site_fract_y
_atom_site_fract_z
Zr1 Zr 0.0000 0.4096 0.0000
Cu1 Cu 0.0000 0.0000 0.0000
Cu2 Cu 0.0000 0.7613 0.5000
Ge1 Ge 0.3333 0.6667 0.5000
# D(E_F) = 2.67 states/eV/cell


One value per record, in order, for ΔH_f (0 K): -4.32; -2.11; -5.24 eV per formula unit.
One value per record, in order, for raw total energy: -22.467; -22.365; -21.812 eV per atom.